Entry 1:
{
  "formula": "K2TlAuBr6",
  "functional": "GGA-PBEsol",
  "state": "relaxed",
  "cell": [[0.000, 5.479, 5.479], [5.479, 0.000, 5.479], [5.479, 5.479, 0.000]],
  "species": ["K", "K", "Tl", "Au", "Br", "Br", "Br", "Br", "Br", "Br"],
  "frac_coords": [[0.250, 0.250, 0.250], [0.750, 0.750, 0.750], [0.000, 0.000, 0.000], [0.500, 0.500, 0.500], [0.258, 0.258, 0.742], [0.258, 0.742, 0.258], [0.258, 0.742, 0.742], [0.742, 0.258, 0.258], [0.742, 0.258, 0.742], [0.742, 0.742, 0.258]],
  "e_form_raw_kcal_per_mol_atoms": -20.0,
  "spacegroup": "Fm-3m"
}

---

Entry 2:
{
  "formula": "La2AuBr",
  "functional": "GGA-PBEsol",
  "state": "relaxed",
  "cell": [[4.349, 0.000, 0.000], [-2.174, 3.766, 0.000], [0.000, 0.000, 21.126]],
  "species": ["La", "La", "La", "La", "La", "La", "Au", "Au", "Au", "Br", "Br", "Br"],
  "frac_coords": [[0.000, 0.000, 0.247], [0.000, 0.000, 0.753], [0.333, 0.667, 0.420], [0.333, 0.667, 0.913], [0.667, 0.333, 0.087], [0.667, 0.333, 0.580], [0.000, 0.000, 0.500], [0.333, 0.667, 0.167], [0.667, 0.333, 0.833], [0.000, 0.000, 0.000], [0.333, 0.667, 0.667], [0.667, 0.333, 0.333]],
  "e_form_raw_kcal_per_mol_atoms": -24.1,
  "relative_energy_mev_per_atom": 36,
  "spacegroup": "R-3m"
}

---

Entry 3:
{
  "formula": "LaAu2Br",
  "functional": "GGA-PBEsol",
  "state": "relaxed",
  "cell": [[4.157, 0.000, 0.000], [0.000, 4.157, 0.000], [0.000, 0.000, 5.236]],
  "species": ["La", "Au", "Au", "Br"],
  "frac_coords": [[0.000, 0.000, 0.000], [0.000, 0.500, 0.500], [0.500, 0.000, 0.500], [0.500, 0.500, 0.000]],
  "e_form_raw_kcal_per_mol_atoms": -16.9,
  "relative_energy_mev_per_atom": 0,
  "spacegroup": "P4/mmm"
}

---

Entry 4:
{
  "formula": "LaAu2Br",
  "functional": "GGA-PBEsol",
  "state": "relaxed",
  "cell": [[7.229, 0.000, 0.000], [0.000, 7.229, 0.000], [0.000, 0.000, 7.229]],
  "species": ["La", "La", "La", "La", "Au", "Au", "Au", "Au", "Au", "Au", "Au", "Au", "Br", "Br", "Br", "Br"],
  "frac_coords": [[0.000, 0.000, 0.000], [0.000, 0.500, 0.500], [0.500, 0.000, 0.500], [0.500, 0.500, 0.000], [0.250, 0.250, 0.250], [0.250, 0.250, 0.750], [0.250, 0.750, 0.250], [0.250, 0.750, 0.750], [0.750, 0.250, 0.250], [0.750, 0.250, 0.750], [0.750, 0.750, 0.250], [0.750, 0.750, 0.750], [0.000, 0.000, 0.500], [0.000, 0.500, 0.000], [0.500, 0.000, 0.000], [0.500, 0.500, 0.500]],
  "e_form_raw_kcal_per_mol_atoms": -14.3,
  "relative_energy_mev_per_atom": 112,
  "spacegroup": "Fm-3m"
}

---

Entry 5:
{
  "formula": "La2AuBr",
  "functional": "GGA-PBEsol",
  "state": "relaxed",
  "cell": [[4.260, 0.000, 0.000], [0.000, 4.260, 0.000], [0.000, 0.000, 6.225]],
  "species": ["La", "La", "Au", "Br"],
  "frac_coords": [[0.000, 0.000, 0.000], [0.500, 0.500, 0.500], [0.000, 0.000, 0.500], [0.500, 0.500, 0.000]],
  "e_form_raw_kcal_per_mol_atoms": -24.9,
  "relative_energy_mev_per_atom": 0,
  "spacegroup": "P4/mmm"
}

---

Entry 6:
{
  "formula": "LaMg2AuBr",
  "functional": "GGA-PBEsol",
  "state": "relaxed",
  "cell": [[6.463, 0.000, 0.000], [0.000, 6.463, 0.000], [0.000, 0.000, 5.391]],
  "species": ["La", "Mg", "Mg", "Au", "Br"],
  "frac_coords": [[0.000, 0.000, 0.000], [0.000, 0.500, 0.000], [0.500, 0.000, 0.000], [0.000, 0.000, 0.500], [0.500, 0.500, 0.500]],
  "e_form_raw_kcal_per_mol_atoms": 14.4,
  "spacegroup": "P4/mmm"
}

---

Entry 7:
{
  "formula": "LaAuSeBr2",
  "functional": "GGA-PBEsol",
  "state": "relaxed",
  "cell": [[5.638, 0.000, 0.000], [0.000, 5.638, 0.000], [0.000, 0.000, 5.843]],
  "species": ["La", "Au", "Se", "Br", "Br"],
  "frac_coords": [[0.000, 0.000, 0.000], [0.500, 0.500, 0.500], [0.000, 0.000, 0.500], [0.000, 0.500, 0.000], [0.500, 0.000, 0.000]],
  "e_form_raw_kcal_per_mol_atoms": -11.1,
  "spacegroup": "P4/mmm"
}

---

Entry 8:
{
  "formula": "LaTc2AuBr",
  "functional": "GGA-PBEsol",
  "state": "relaxed",
  "cell": [[4.886, 0.000, 0.000], [0.000, 4.886, 0.000], [0.000, 0.000, 5.749]],
  "species": ["La", "Tc", "Tc", "Au", "Br"],
  "frac_coords": [[0.000, 0.000, 0.000], [0.000, 0.500, 0.500], [0.500, 0.000, 0.500], [0.000, 0.000, 0.500], [0.500, 0.500, 0.000]],
  "e_form_raw_kcal_per_mol_atoms": 27.9,
  "spacegroup": "P4/mmm"
}

---

Entry 9:
{
  "formula": "LiAuBr",
  "functional": "GGA-PBEsol",
  "state": "relaxed",
  "cell": [[6.224, 0.000, 0.000], [0.000, 6.224, 0.000], [0.000, 0.000, 6.224]],
  "species": ["Li", "Li", "Li", "Li", "Au", "Au", "Au", "Au", "Br", "Br", "Br", "Br"],
  "frac_coords": [[0.000, 0.000, 0.000], [0.000, 0.500, 0.500], [0.500, 0.000, 0.500], [0.500, 0.500, 0.000], [0.250, 0.250, 0.250], [0.250, 0.750, 0.750], [0.750, 0.250, 0.750], [0.750, 0.750, 0.250], [0.250, 0.250, 0.750], [0.250, 0.750, 0.250], [0.750, 0.250, 0.250], [0.750, 0.750, 0.750]],
  "e_form_raw_kcal_per_mol_atoms": -6.4,
  "relative_energy_mev_per_atom": 0,
  "spacegroup": "F-43m"
}

---

Entry 10:
{
  "formula": "Li3AuBr",
  "functional": "GGA-PBEsol",
  "state": "relaxed",
  "cell": [[4.684, 0.000, 0.000], [0.000, 4.684, 0.000], [0.000, 0.000, 4.684]],
  "species": ["Li", "Li", "Li", "Au", "Br"],
  "frac_coords": [[0.000, 0.000, 0.500], [0.000, 0.500, 0.000], [0.500, 0.000, 0.000], [0.500, 0.500, 0.500], [0.000, 0.000, 0.000]],
  "e_form_raw_kcal_per_mol_atoms": -10.6,
  "spacegroup": "Pm-3m"
}

---

Entry 11:
{
  "formula": "LiRhAu2Br",
  "functional": "GGA-PBEsol",
  "state": "relaxed",
  "cell": [[4.937, 0.000, 0.000], [0.000, 4.937, 0.000], [0.000, 0.000, 4.175]],
  "species": ["Li", "Rh", "Au", "Au", "Br"],
  "frac_coords": [[0.000, 0.000, 0.000], [0.500, 0.500, 0.000], [0.000, 0.500, 0.500], [0.500, 0.000, 0.500], [0.000, 0.000, 0.500]],
  "e_form_raw_kcal_per_mol_atoms": 20.3,
  "spacegroup": "P4/mmm"
}

---

Entry 12:
{
  "formula": "LiAuSeBr2",
  "functional": "GGA-PBEsol",
  "state": "relaxed",
  "cell": [[5.279, 0.000, 0.000], [0.000, 5.279, 0.000], [0.000, 0.000, 5.024]],
  "species": ["Li", "Au", "Se", "Br", "Br"],
  "frac_coords": [[0.000, 0.000, 0.000], [0.500, 0.500, 0.500], [0.500, 0.500, 0.000], [0.000, 0.500, 0.500], [0.500, 0.000, 0.500]],
  "e_form_raw_kcal_per_mol_atoms": -4.0,
  "spacegroup": "P4/mmm"
}

---

Entry 13:
{
  "formula": "LiAuSe2Br",
  "functional": "GGA-PBEsol",
  "state": "relaxed",
  "cell": [[4.648, 0.000, 0.000], [0.000, 4.648, 0.000], [0.000, 0.000, 4.689]],
  "species": ["Li", "Au", "Se", "Se", "Br"],
  "frac_coords": [[0.000, 0.000, 0.000], [0.500, 0.500, 0.500], [0.000, 0.500, 0.000], [0.500, 0.000, 0.000], [0.000, 0.000, 0.500]],
  "e_form_raw_kcal_per_mol_atoms": 9.1,
  "spacegroup": "P4/mmm"
}

---

Entry 14:
{
  "formula": "MgAuSeBr2",
  "functional": "GGA-PBEsol",
  "state": "relaxed",
  "cell": [[5.094, 0.000, 0.000], [0.000, 5.094, 0.000], [0.000, 0.000, 5.204]],
  "species": ["Mg", "Au", "Se", "Br", "Br"],
  "frac_coords": [[0.000, 0.000, 0.000], [0.500, 0.500, 0.500], [0.500, 0.500, 0.000], [0.000, 0.500, 0.500], [0.500, 0.000, 0.500]],
  "e_form_raw_kcal_per_mol_atoms": -0.8,
  "spacegroup": "P4/mmm"
}

---

Entry 15:
{
  "formula": "MnAuBr",
  "functional": "GGA-PBEsol",
  "state": "relaxed",
  "cell": [[6.396, 0.000, 0.000], [0.000, 6.396, 0.000], [0.000, 0.000, 6.396]],
  "species": ["Mn", "Mn", "Mn", "Mn", "Au", "Au", "Au", "Au", "Br", "Br", "Br", "Br"],
  "frac_coords": [[0.000, 0.000, 0.000], [0.000, 0.500, 0.500], [0.500, 0.000, 0.500], [0.500, 0.500, 0.000], [0.250, 0.250, 0.750], [0.250, 0.750, 0.250], [0.750, 0.250, 0.250], [0.750, 0.750, 0.750], [0.250, 0.250, 0.250], [0.250, 0.750, 0.750], [0.750, 0.250, 0.750], [0.750, 0.750, 0.250]],
  "e_form_raw_kcal_per_mol_atoms": 7.3,
  "relative_energy_mev_per_atom": 0,
  "spacegroup": "F-43m"
}

---

Entry 16:
{
  "formula": "NaMn2AuBr",
  "functional": "GGA-PBEsol",
  "state": "relaxed",
  "cell": [[5.184, 0.000, 0.000], [0.000, 5.184, 0.000], [0.000, 0.000, 4.830]],
  "species": ["Na", "Mn", "Mn", "Au", "Br"],
  "frac_coords": [[0.000, 0.000, 0.000], [0.000, 0.500, 0.000], [0.500, 0.000, 0.000], [0.000, 0.000, 0.500], [0.500, 0.500, 0.500]],
  "e_form_raw_kcal_per_mol_atoms": 32.4,
  "spacegroup": "P4/mmm"
}

---

Entry 17:
{
  "formula": "Mo2AuBr",
  "functional": "GGA-PBEsol",
  "state": "relaxed",
  "cell": [[4.690, 0.000, 0.000], [0.000, 4.690, 0.000], [0.000, 0.000, 2.915]],
  "species": ["Mo", "Mo", "Au", "Br"],
  "frac_coords": [[0.000, 0.500, 0.000], [0.500, 0.000, 0.000], [0.000, 0.000, 0.500], [0.500, 0.500, 0.500]],
  "e_form_raw_kcal_per_mol_atoms": 16.8,
  "relative_energy_mev_per_atom": 162,
  "spacegroup": "P4/mmm"
}

---

Entry 18:
{
  "formula": "Mo2AuBr",
  "functional": "GGA-PBEsol",
  "state": "relaxed",
  "cell": [[8.367, 0.000, 0.000], [0.000, 2.910, 0.000], [-0.936, 0.000, 5.421]],
  "species": ["Mo", "Mo", "Mo", "Mo", "Au", "Au", "Br", "Br"],
  "frac_coords": [[0.249, 0.000, 0.264], [0.251, 0.500, 0.736], [0.749, 0.500, 0.264], [0.751, 0.000, 0.736], [0.000, 0.500, 0.000], [0.500, 0.000, 0.000], [0.000, 0.000, 0.500], [0.500, 0.500, 0.500]],
  "e_form_raw_kcal_per_mol_atoms": 15.8,
  "relative_energy_mev_per_atom": 121,
  "spacegroup": "C2/m"
}

---

Entry 19:
{
  "formula": "Mo2AuBr",
  "functional": "GGA-PBEsol",
  "state": "relaxed",
  "cell": [[2.929, 0.000, 0.000], [-1.465, 2.537, 0.000], [0.000, 0.000, 26.239]],
  "species": ["Mo", "Mo", "Mo", "Mo", "Mo", "Mo", "Au", "Au", "Au", "Br", "Br", "Br"],
  "frac_coords": [[0.000, 0.000, 0.247], [0.000, 0.000, 0.753], [0.333, 0.667, 0.419], [0.333, 0.667, 0.914], [0.667, 0.333, 0.086], [0.667, 0.333, 0.581], [0.000, 0.000, 0.000], [0.333, 0.667, 0.667], [0.667, 0.333, 0.333], [0.000, 0.000, 0.500], [0.333, 0.667, 0.167], [0.667, 0.333, 0.833]],
  "e_form_raw_kcal_per_mol_atoms": 13.0,
  "relative_energy_mev_per_atom": 0,
  "spacegroup": "R-3m"
}

---

Entry 20:
{
  "formula": "MoAuBr",
  "functional": "GGA-PBEsol",
  "state": "relaxed",
  "cell": [[4.488, 0.000, 0.000], [-2.244, 3.886, 0.000], [0.000, 0.000, 2.968]],
  "species": ["Mo", "Au", "Br"],
  "frac_coords": [[0.000, 0.000, 0.000], [0.667, 0.333, 0.500], [0.333, 0.667, 0.000]],
  "e_form_raw_kcal_per_mol_atoms": 16.5,
  "relative_energy_mev_per_atom": 417,
  "spacegroup": "P-6m2"
}